A relaxed structure of Cr2InCo, computed with PBE. Values from VASP.

* Fermi-level density of states: 3.222 states/eV/cell
* space group: P4mm
* total energy: -7.04 eV per atom

Cell and atoms, written as Quantum ESPRESSO input:
```
&SYSTEM
  ibrav = 0, nat = 4, ntyp = 3
/
ATOMIC_SPECIES
Co 58.93 Co.upf
Cr 52.00 Cr.upf
In 114.82 In.upf
ATOMIC_POSITIONS angstrom
Co 1.5199 4.4711 4.7900
Cr 0.0000 3.0349 0.0993
Cr 1.5199 1.4962 1.2712
In 0.0000 2.9804 3.1921
CELL_PARAMETERS angstrom
3.0398 0.0000 0.0000
0.0000 3.0354 0.0529
0.0000 2.9295 6.1469
```

A relaxed structure of CrIn2Co, computed with PBE. Values from VASP.

* Fermi-level density of states: 3.180 states/eV/cell
* space group: Imm2
* total energy: -5.24 eV per atom
* excess energy over the best structure of this formula in the dataset: 59 meV per atom

Cell and atoms, written as Quantum ESPRESSO input:
```
&SYSTEM
  ibrav = 0, nat = 4, ntyp = 3
/
ATOMIC_SPECIES
Co 58.93 Co.upf
Cr 52.00 Cr.upf
In 114.82 In.upf
ATOMIC_POSITIONS angstrom
Co 0.9151 -3.5244 2.8765
Cr 1.8355 -1.3099 2.1875
In 0.0168 -0.0646 0.0527
In -0.7798 -0.6397 2.9539
CELL_PARAMETERS angstrom
-1.5601 -3.3935 4.0830
3.4536 -3.8989 1.8688
-0.8526 5.3999 -0.8571
```

A relaxed structure of CrIn2Co, computed with PBE. Values from VASP.

* Fermi-level density of states: 3.260 states/eV/cell
* space group: Fm-3m
* total energy: -5.30 eV per atom
* excess energy over the best structure of this formula in the dataset: 0 meV per atom

Cell and atoms, written as Quantum ESPRESSO input:
```
&SYSTEM
  ibrav = 0, nat = 4, ntyp = 3
/
ATOMIC_SPECIES
Cr 52.00 Cr.upf
Co 58.93 Co.upf
In 114.82 In.upf
ATOMIC_POSITIONS angstrom
Cr 0.0000 0.0000 0.0000
Co -3.8778 3.2760 2.2801
In -1.9389 1.6380 1.1400
In -5.8167 4.9140 3.4201
CELL_PARAMETERS angstrom
-2.5236 0.7353 3.7062
-0.9874 4.2495 1.2698
-4.2446 1.5672 -0.4159
```

A relaxed structure of Cr2InCo, computed with PBE. Values from VASP.

* Fermi-level density of states: 6.049 states/eV/cell
* space group: C2/m
* total energy: -6.73 eV per atom

Cell and atoms, written as Quantum ESPRESSO input:
```
&SYSTEM
  ibrav = 0, nat = 4, ntyp = 3
/
ATOMIC_SPECIES
Co 58.93 Co.upf
Cr 52.00 Cr.upf
In 114.82 In.upf
ATOMIC_POSITIONS angstrom
Co -1.0481 2.4585 1.2782
Cr 0.0000 0.0000 0.0000
Cr 1.2656 2.1804 0.0008
In 2.6547 0.3092 1.2782
CELL_PARAMETERS angstrom
4.9684 0.0311 0.0008
-2.4372 4.3296 0.0008
0.3410 0.5874 2.5555
```

Respective total magnetic moment values: 0.2 4.1 3.4 2.2 Bohr magnetons per cell.
Respective energy relative to the elements values: 0.23 0.31 0.25 0.54 eV/atom.